[1]
{
  "formula": "GeAu2S",
  "functional": "PBE",
  "state": "optimized geometry",
  "lattice": [[3.4417, -2.7836, 1.5886], [0.3398, -0.9287, 4.5978], [-1.0095, -4.3015, 1.6110]],
  "species": ["Ge", "Au", "Au", "S"],
  "frac_coords": [[0.5000, 0.5000, 0.5000], [0.2500, 0.2500, 0.2500], [0.7500, 0.7500, 0.7500], [0.0000, 0.0000, 0.0000]],
  "m_tot_mub_per_fu": 0.0,
  "relative_energy_mev_per_atom": 173,
  "e_tot_ev_per_cell": -14.0,
  "formation_energy_uncorrected_ev_per_atom": 0.327
}

=====

[2]
{
  "formula": "Ge2AuS2",
  "functional": "PBE",
  "state": "optimized geometry",
  "lattice": [[-1.7526, -6.6261, 3.6602], [7.5053, -2.0103, -0.0454], [0.4580, 1.6378, 3.1842]],
  "species": ["Ge", "Ge", "Ge", "Ge", "Au", "Au", "S", "S", "S", "S"],
  "frac_coords": [[0.2616, 0.7616, 0.0000], [0.7616, 0.7384, 0.0000], [0.7384, 0.2384, 0.0000], [0.2384, 0.2616, 0.0000], [0.0000, 0.0000, 0.0000], [0.5000, 0.5000, 0.0000], [0.1246, 0.6246, 0.5000], [0.6246, 0.8754, 0.5000], [0.8754, 0.3754, 0.5000], [0.3754, 0.1246, 0.5000]],
  "m_tot_mub_per_fu": 0.0,
  "relative_energy_mev_per_atom": 263,
  "e_tot_ev_per_cell": -40.6,
  "formation_energy_uncorrected_ev_per_atom": 0.089
}

=====

[3]
{
  "formula": "GeAu2S",
  "functional": "PBE",
  "state": "optimized geometry",
  "lattice": [[6.3503, 0.0000, 0.0000], [0.0000, 6.3503, 0.0000], [3.1751, 3.1751, 4.4973]],
  "species": ["Ge", "Ge", "Au", "Au", "Au", "Au", "S", "S"],
  "frac_coords": [[0.0000, 0.0000, 0.0000], [0.7500, 0.2500, 0.5000], [0.6217, 0.1250, 0.2500], [0.1283, 0.6250, 0.2500], [0.3750, 0.3783, 0.7500], [0.8750, 0.8717, 0.7500], [0.5000, 0.5000, 0.0000], [0.2500, 0.7500, 0.5000]],
  "m_tot_mub_per_fu": 0.0,
  "relative_energy_mev_per_atom": 0,
  "e_tot_ev_per_cell": -29.4,
  "formation_energy_uncorrected_ev_per_atom": 0.153
}

=====

[4]
{
  "formula": "GeAuS",
  "functional": "PBE",
  "state": "optimized geometry",
  "lattice": [[-0.9686, -1.6638, 1.9626], [-1.9387, -1.8347, -2.5121], [8.8198, -7.0715, -1.6419]],
  "species": ["Ge", "Ge", "Au", "Au", "S", "S"],
  "frac_coords": [[0.5000, 0.0000, 0.6486], [0.5000, 0.5000, 0.1486], [0.5000, 0.0000, 0.9818], [0.5000, 0.5000, 0.4818], [0.5000, 0.0000, 0.3131], [0.5000, 0.5000, 0.8131]],
  "m_tot_mub_per_fu": 0.0,
  "e_tot_ev_per_cell": -23.4,
  "formation_energy_uncorrected_ev_per_atom": 0.106
}

=====

[5]
{
  "formula": "GeAuS3",
  "functional": "PBE",
  "state": "optimized geometry",
  "lattice": [[-2.2997, 3.5754, 1.9959], [-4.0840, -1.8363, -1.4160], [-0.2976, -2.4290, 4.0084]],
  "species": ["Ge", "Au", "S", "S", "S"],
  "frac_coords": [[0.0000, 0.0000, 0.0000], [0.5000, 0.5000, 0.5000], [0.0000, 0.5000, 0.0000], [0.0000, 0.0000, 0.5000], [0.5000, 0.0000, 0.0000]],
  "m_tot_mub_per_fu": 0.0,
  "e_tot_ev_per_cell": -16.7,
  "formation_energy_uncorrected_ev_per_atom": 0.707
}

=====

[6]
{
  "formula": "Ge2AuS2",
  "functional": "PBE",
  "state": "optimized geometry",
  "lattice": [[-6.1163, 4.5326, 0.8981], [0.3485, -1.0332, 7.5875], [2.1100, 2.7912, 0.2831]],
  "species": ["Ge", "Ge", "Ge", "Ge", "Au", "Au", "S", "S", "S", "S"],
  "frac_coords": [[0.1737, 0.6737, 0.5000], [0.6737, 0.8263, 0.5000], [0.8263, 0.3263, 0.5000], [0.3263, 0.1737, 0.5000], [0.0000, 0.0000, 0.0000], [0.5000, 0.5000, 0.0000], [0.3246, 0.8246, 0.0000], [0.8246, 0.6754, 0.0000], [0.6754, 0.1754, 0.0000], [0.1754, 0.3246, 0.0000]],
  "m_tot_mub_per_fu": 0.0,
  "relative_energy_mev_per_atom": 306,
  "e_tot_ev_per_cell": -40.2,
  "formation_energy_uncorrected_ev_per_atom": 0.132
}